1.
A plane-wave DFT calculation with PBE-GGA was carried out for RbAlAsS4 after structural relaxation.

The structure in POSCAR format:
```
RbAlAsS4
1.0
6.9362 0.0000 0.0000
0.0000 6.9362 0.0000
0.0000 0.0000 8.6301
Rb Al As S
2 2 2 8
Direct
0.0000 0.0000 0.0000
0.5000 0.5000 0.5000
0.0000 0.0000 0.5000
0.5000 0.5000 0.0000
0.0000 0.5000 0.7500
0.5000 0.0000 0.2500
0.1571 0.2292 0.6401
0.2292 0.8429 0.3599
0.2708 0.6571 0.8599
0.3429 0.2708 0.1401
0.6571 0.7292 0.1401
0.7292 0.3429 0.8599
0.7708 0.1571 0.3599
0.8429 0.7708 0.6401
```

## Properties
raw formation energy = -0.619 eV per atom
D(E_F) = 9.02 states/eV per cell
size of the total moment = 0.06 μB per atom
symmetry = No. 82

***

2.
A plane-wave DFT calculation with PBE-GGA was carried out for Rb2ScAlAs after structural relaxation.

The structure in POSCAR format:
```
Rb2ScAlAs
1.0
6.7034 0.0000 0.0000
0.0000 6.7034 0.0000
0.0000 0.0000 5.0995
Rb Sc Al As
2 1 1 1
Direct
0.0000 0.5000 0.0000
0.5000 0.0000 0.0000
0.0000 0.0000 0.5000
0.5000 0.5000 0.5000
0.0000 0.0000 0.0000
```

## Properties
formation enthalpy at 0 K = 23.45 kJ per mole of atoms
D(E_F) = 4.43 states/eV per cell
size of the total moment = 0.25 μB per atom
symmetry = No. 123

***

3.
A plane-wave DFT calculation with PBE-GGA was carried out for Rb2AlAsSe4 after structural relaxation.

The structure in POSCAR format:
```
Rb2AlAsSe4
1.0
0.0000 7.2294 12.1766
3.2040 0.0000 12.1766
3.2040 7.2294 0.0000
Rb Al As Se
4 2 2 8
Direct
0.0558 0.0558 0.6942
0.3058 0.3058 0.9442
0.6942 0.6942 0.0558
0.9442 0.9442 0.3058
0.1250 0.1250 0.1250
0.8750 0.8750 0.8750
0.3750 0.3750 0.3750
0.6250 0.6250 0.6250
0.0501 0.3086 0.3938
0.2525 0.6062 0.6914
0.3086 0.0501 0.7475
0.3938 0.7475 0.0501
0.6062 0.2525 0.9499
0.6914 0.9499 0.2525
0.7475 0.3938 0.3086
0.9499 0.6914 0.6062
```

## Properties
raw formation energy = -0.828 eV per atom
D(E_F) = 0.00 states/eV per cell
size of the total moment = 0.00 μB per atom
symmetry = No. 70

***

4.
A plane-wave DFT calculation with PBE-GGA was carried out for Rb2SrAlAs2 after structural relaxation.

The structure in POSCAR format:
```
Rb2SrAlAs2
1.0
-3.7813 7.9585 3.5449
3.7813 -7.9585 3.5449
3.7813 7.9585 -3.5449
Rb Sr Al As
4 2 2 4
Direct
0.1906 0.1865 0.3771
0.3094 0.6865 0.9959
0.6906 0.3135 0.0041
0.8094 0.8135 0.6229
0.2500 0.7500 0.5000
0.7500 0.2500 0.5000
0.2500 0.2500 0.0000
0.7500 0.7500 0.0000
0.0754 0.8038 0.8793
0.4246 0.3038 0.7284
0.5754 0.6962 0.2716
0.9246 0.1962 0.1207
```

## Properties
formation enthalpy at 0 K = -49.98 kJ per mole of atoms
D(E_F) = 6.16 states/eV per cell
size of the total moment = 0.07 μB per atom
symmetry = No. 72

***

5.
A plane-wave DFT calculation with PBE-GGA was carried out for RbSrAlAs2 after structural relaxation.

The structure in POSCAR format:
```
RbSrAlAs2
1.0
5.7825 0.0000 0.0000
0.0000 5.7825 0.0000
0.0000 0.0000 5.7716
Rb Sr Al As
1 1 1 2
Direct
0.0000 0.0000 0.0000
0.0000 0.0000 0.5000
0.5000 0.5000 0.5000
0.0000 0.5000 0.0000
0.5000 0.0000 0.0000
```

## Properties
formation enthalpy at 0 K = 105.54 kJ per mole of atoms
D(E_F) = 3.41 states/eV per cell
size of the total moment = 0.00 μB per atom
symmetry = No. 123

***

6.
A plane-wave DFT calculation with PBE-GGA was carried out for RbTi2AlAs after structural relaxation.

The structure in POSCAR format:
```
RbTi2AlAs
1.0
5.0136 0.0000 0.0000
0.0000 5.0136 0.0000
0.0000 0.0000 5.1456
Rb Ti Al As
1 2 1 1
Direct
0.0000 0.0000 0.0000
0.0000 0.5000 0.5000
0.5000 0.0000 0.5000
0.5000 0.5000 0.5000
0.5000 0.5000 0.0000
```

## Properties
formation enthalpy at 0 K = 82.10 kJ per mole of atoms
D(E_F) = 6.11 states/eV per cell
size of the total moment = 0.00 μB per atom
symmetry = No. 123

***

7.
A plane-wave DFT calculation with PBE-GGA was carried out for RbAlZnAs2 after structural relaxation.

The structure in POSCAR format:
```
RbAlZnAs2
1.0
7.9857 0.0000 0.0000
0.0000 6.1988 0.0000
-2.3836 0.0000 5.7062
Rb Al Zn As
2 2 2 4
Direct
0.0000 0.2394 0.2500
0.0000 0.7606 0.7500
0.5000 0.5000 0.2500
0.5000 0.5000 0.7500
0.5000 0.0000 0.0000
0.5000 0.0000 0.5000
0.2930 0.2889 0.8970
0.2930 0.7111 0.3970
0.7070 0.2889 0.6030
0.7070 0.7111 0.1030
```

## Properties
formation enthalpy at 0 K = -42.11 kJ per mole of atoms
size of the total moment = 0.00 μB per atom
symmetry = No. 13

***

8.
A plane-wave DFT calculation with PBE-GGA was carried out for AlRe2As after structural relaxation.

The structure in POSCAR format:
```
AlRe2As
1.0
2.9454 0.0000 0.0000
-1.4727 2.5508 0.0000
0.0000 0.0000 24.6916
Al Re As
3 6 3
Direct
0.0000 0.0000 0.0000
0.3333 0.6667 0.6667
0.6667 0.3333 0.3333
0.0000 0.0000 0.4999
0.0000 0.0000 0.7481
0.3333 0.6667 0.1666
0.3333 0.6667 0.4148
0.6667 0.3333 0.0815
0.6667 0.3333 0.8332
0.0000 0.0000 0.2444
0.3333 0.6667 0.9111
0.6667 0.3333 0.5778
```

## Properties
polymorph energy (0 for the lowest one) = 36 meV/atom
formation enthalpy at 0 K = 4.74 kJ per mole of atoms
D(E_F) = 7.27 states/eV per cell
size of the total moment = 0.00 μB per atom
symmetry = No. 160

***

9.
A plane-wave DFT calculation with PBE-GGA was carried out for AlRe2As after structural relaxation.

The structure in POSCAR format:
```
AlRe2As
1.0
3.1672 0.0000 0.0000
0.0000 3.1672 0.0000
0.0000 0.0000 5.8584
Al Re As
1 2 1
Direct
0.0000 0.0000 0.0000
0.0000 0.0000 0.4848
0.5000 0.5000 0.7866
0.5000 0.5000 0.2628
```

## Properties
polymorph energy (0 for the lowest one) = 0 meV/atom
formation enthalpy at 0 K = 1.25 kJ per mole of atoms
D(E_F) = 1.92 states/eV per cell
size of the total moment = 0.00 μB per atom
symmetry = No. 99

***

10.
A plane-wave DFT calculation with PBE-GGA was carried out for Al3ReAs after structural relaxation.

The structure in POSCAR format:
```
Al3ReAs
1.0
4.7853 0.0000 0.0000
0.0000 4.7853 0.0000
0.0000 0.0000 4.7853
Al Re As
3 1 1
Direct
0.0000 0.0000 0.5000
0.0000 0.5000 0.0000
0.5000 0.0000 0.0000
0.0000 0.0000 0.0000
0.5000 0.5000 0.5000
```

## Properties
polymorph energy (0 for the lowest one) = 0 meV/atom
formation enthalpy at 0 K = 60.35 kJ per mole of atoms
D(E_F) = 5.87 states/eV per cell
size of the total moment = 0.00 μB per atom
symmetry = No. 221

***

11.
A plane-wave DFT calculation with PBE-GGA was carried out for AlRe2As after structural relaxation.

The structure in POSCAR format:
```
AlRe2As
1.0
7.4678 0.0000 0.0000
0.0000 7.4678 0.0000
0.0000 0.0000 4.9574
Al Re As
4 8 4
Direct
0.0000 0.0000 0.0000
0.0000 0.5000 0.2500
0.5000 0.0000 0.7500
0.5000 0.5000 0.5000
0.1827 0.7500 0.6250
0.2500 0.1827 0.3750
0.2500 0.3173 0.8750
0.3173 0.7500 0.1250
0.6827 0.2500 0.1250
0.7500 0.6827 0.8750
0.7500 0.8173 0.3750
0.8173 0.2500 0.6250
0.0000 0.0000 0.5000
0.0000 0.5000 0.7500
0.5000 0.0000 0.2500
0.5000 0.5000 0.0000
```

## Properties
polymorph energy (0 for the lowest one) = 710 meV/atom
formation enthalpy at 0 K = 69.79 kJ per mole of atoms
D(E_F) = 9.55 states/eV per cell
size of the total moment = 0.00 μB per atom
symmetry = No. 122

***

12.
A plane-wave DFT calculation with PBE-GGA was carried out for AlRe2As after structural relaxation.

The structure in POSCAR format:
```
AlRe2As
1.0
8.6726 0.0000 0.0000
0.0000 2.8980 0.0000
-0.7439 0.0000 4.7856
Al Re As
2 4 2
Direct
0.0000 0.0000 0.0000
0.5000 0.5000 0.0000
0.2380 0.5000 0.2509
0.2620 0.0000 0.7491
0.7380 0.0000 0.2509
0.7620 0.5000 0.7491
0.0000 0.5000 0.5000
0.5000 0.0000 0.5000
```

## Properties
polymorph energy (0 for the lowest one) = 178 meV/atom
formation enthalpy at 0 K = 18.41 kJ per mole of atoms
D(E_F) = 6.36 states/eV per cell
size of the total moment = 0.00 μB per atom
symmetry = No. 12

***

13.
A plane-wave DFT calculation with PBE-GGA was carried out for AlRe2As after structural relaxation.

The structure in POSCAR format:
```
AlRe2As
1.0
3.9694 0.0000 0.0000
0.0000 3.9694 0.0000
0.0000 0.0000 7.6370
Al Re As
2 4 2
Direct
0.0000 0.0000 0.0000
0.5000 0.5000 0.5000
0.0000 0.0000 0.5000
0.0000 0.5000 0.2500
0.5000 0.0000 0.7500
0.5000 0.5000 0.0000
0.0000 0.5000 0.7500
0.5000 0.0000 0.2500
```

## Properties
polymorph energy (0 for the lowest one) = 290 meV/atom
formation enthalpy at 0 K = 29.27 kJ per mole of atoms
D(E_F) = 6.17 states/eV per cell
size of the total moment = 0.00 μB per atom
symmetry = No. 119

***

14.
A plane-wave DFT calculation with PBE-GGA was carried out for AlRe2As after structural relaxation.

The structure in POSCAR format:
```
AlRe2As
1.0
6.2614 0.0000 0.0000
0.0000 6.2614 0.0000
0.0000 0.0000 6.2614
Al Re As
4 8 4
Direct
0.0000 0.0000 0.0000
0.0000 0.5000 0.5000
0.5000 0.0000 0.5000
0.5000 0.5000 0.0000
0.0000 0.0000 0.5000
0.0000 0.5000 0.0000
0.2500 0.2500 0.2500
0.2500 0.7500 0.7500
0.5000 0.0000 0.0000
0.5000 0.5000 0.5000
0.7500 0.2500 0.7500
0.7500 0.7500 0.2500
0.2500 0.2500 0.7500
0.2500 0.7500 0.2500
0.7500 0.2500 0.2500
0.7500 0.7500 0.7500
```

## Properties
polymorph energy (0 for the lowest one) = 300 meV/atom
formation enthalpy at 0 K = 30.20 kJ per mole of atoms
D(E_F) = 15.84 states/eV per cell
size of the total moment = 0.00 μB per atom
symmetry = No. 216